{
  "formula": "NaMgTlIn",
  "functional": "GGA-PBE",
  "state": "relaxed",
  "lattice": [[5.264, 0.000, 0.000], [2.632, 4.559, 0.000], [2.632, 1.520, 4.298]],
  "species": ["In", "Tl", "Na", "Mg"],
  "fractional_positions": [[0.250, 0.250, 0.250], [0.750, 0.750, 0.750], [0.000, 0.000, 0.000], [0.500, 0.500, 0.500]],
  "spacegroup": "F-43m (216)",
  "m_tot_mub_per_cell": 0.0,
  "e_above_lowest_polymorph_ev_per_atom": 0.021,
  "crystal_system": "cubic"
}

=====

{
  "formula": "Na2MgTl2In",
  "functional": "GGA-PBE",
  "state": "relaxed",
  "lattice": [[4.682, 0.000, 0.000], [0.000, 6.758, 0.000], [0.000, 0.000, 10.191]],
  "species": ["Tl", "Na", "Na", "In", "Tl", "Tl", "Mg", "Na", "Mg", "Na", "Tl", "In"],
  "fractional_positions": [[0.000, 0.365, 0.831], [0.500, 0.616, 0.996], [0.000, 0.374, 0.182], [0.500, 0.137, 0.660], [0.500, 0.154, 0.342], [0.000, 0.865, 0.169], [0.000, 0.399, 0.519], [0.500, 0.116, 0.004], [0.000, 0.899, 0.481], [0.000, 0.874, 0.818], [0.500, 0.654, 0.658], [0.500, 0.637, 0.340]],
  "spacegroup": "Pmc2_1 (26)",
  "m_tot_mub_per_cell": 0.0,
  "crystal_system": "orthorhombic"
}

=====

Number 1: formation enthalpy at 0 K -0.0856 eV per atom, calculated total energy -2.09 eV/atom. Number 2: formation enthalpy at 0 K -0.0708 eV per atom, calculated total energy -2.02 eV/atom.